[1]
Tl2AgBr | SCAN | single point on PBEsol structure Values from VASP.

Quantum ESPRESSO input file:
```
&SYSTEM
  ibrav = 0, nat = 4, ntyp = 3
/
ATOMIC_SPECIES
Tl 204.38 Tl.upf
Ag 107.87 Ag.upf
Br 79.90 Br.upf
CELL_PARAMETERS angstrom
1.9198 1.1084 8.2729
-1.9198 1.1084 8.2729
0.0000 -2.2168 8.2729
ATOMIC_POSITIONS crystal
Tl 0.0000 0.0000 0.0000
Tl 0.2366 0.2366 0.2366
Ag 0.7394 0.7394 0.7394
Br 0.4754 0.4754 0.4754
```

## Properties
- energy (eV per atom) = -49.02
- energy relative to the elements, uncorrected (eV per formula unit) = -0.55

---

[2]
TlAgBr2 | SCAN | single point on PBEsol structure Values from VASP.

Quantum ESPRESSO input file:
```
&SYSTEM
  ibrav = 0, nat = 8, ntyp = 3
/
ATOMIC_SPECIES
Tl 204.38 Tl.upf
Ag 107.87 Ag.upf
Br 79.90 Br.upf
CELL_PARAMETERS angstrom
-3.9177 3.9177 3.7441
3.9177 -3.9177 3.7441
3.9177 3.9177 -3.7441
ATOMIC_POSITIONS crystal
Tl 0.0000 0.0000 0.0000
Tl 0.7500 0.2500 0.5000
Ag 0.2500 0.7500 0.5000
Ag 0.5000 0.5000 0.0000
Br 0.1816 0.6250 0.0566
Br 0.3750 0.4316 0.5566
Br 0.5684 0.1250 0.9434
Br 0.8750 0.8184 0.4434
```

## Properties
- energy (eV per atom) = -36.27
- energy relative to the elements, uncorrected (eV per formula unit) = -2.44